No. 1
VCuO3 SCAN single point on PBEsol structure; E_form (uncorrected) = -1926 meV/atom; size of the total moment = 0.0 μB per cell; total energy = -12.202 eV per atom
1.0
2.4527 1.4161 4.6450
-2.4527 1.4161 4.6450
0.0000 -2.8322 4.6450
V Cu O
2 2 6
Direct
0.1458 0.1458 0.1458 V
0.8542 0.8542 0.8542 V
0.3580 0.3580 0.3580 Cu
0.6420 0.6420 0.6420 Cu
0.0545 0.7821 0.4328 O
0.2179 0.5672 0.9455 O
0.4328 0.0545 0.7821 O
0.5672 0.9455 0.2179 O
0.7821 0.4328 0.0545 O
0.9455 0.2179 0.5672 O

***

No. 2
V2Cu2O7 SCAN single point on PBEsol structure; E_form (uncorrected) = -1909 meV/atom; size of the total moment = 4.0 μB per cell; total energy = -11.818 eV per atom
1.0
5.0211 0.0000 0.0000
-0.6897 5.7488 0.0000
-1.1839 -1.7365 9.1347
V Cu O
4 4 14
Direct
0.1625 0.1691 0.2199 V
0.2913 0.2342 0.6969 V
0.7087 0.7658 0.3031 V
0.8375 0.8309 0.7801 V
0.2660 0.6490 0.5132 Cu
0.2807 0.6463 0.0044 Cu
0.7193 0.3537 0.9956 Cu
0.7340 0.3510 0.4868 Cu
0.0445 0.3685 0.1213 O
0.0900 0.3985 0.6028 O
0.1060 0.9507 0.6886 O
0.2630 0.9482 0.1097 O
0.3860 0.3782 0.8787 O
0.4156 0.3240 0.3505 O
0.4382 0.8144 0.3839 O
0.5618 0.1856 0.6161 O
0.5844 0.6760 0.6495 O
0.6140 0.6218 0.1213 O
0.7370 0.0518 0.8903 O
0.8940 0.0493 0.3114 O
0.9100 0.6015 0.3972 O
0.9555 0.6315 0.8787 O

***

No. 3
V2Cu2O7 SCAN single point on PBEsol structure; E_form (uncorrected) = -1913 meV/atom; size of the total moment = 3.9 μB per cell; total energy = -11.822 eV per atom
1.0
3.8608 -3.9458 0.0000
3.8608 3.9458 0.0000
-3.3548 0.0000 9.5125
V Cu O
4 4 14
Direct
0.0011 0.4399 0.2858 V
0.4399 0.0011 0.7858 V
0.5601 0.9989 0.2142 V
0.9989 0.5601 0.7142 V
0.2400 0.3842 0.0148 Cu
0.3842 0.2400 0.5148 Cu
0.6158 0.7600 0.4852 Cu
0.7600 0.6158 0.9852 Cu
0.0099 0.5151 0.1271 O
0.1270 0.8730 0.7500 O
0.1852 0.3735 0.6377 O
0.2882 0.4664 0.3978 O
0.3735 0.1852 0.1377 O
0.4664 0.2882 0.8978 O
0.4849 0.9901 0.3729 O
0.5151 0.0099 0.6271 O
0.5336 0.7118 0.1022 O
0.6265 0.8148 0.8623 O
0.7118 0.5336 0.6022 O
0.8148 0.6265 0.3623 O
0.8730 0.1270 0.2500 O
0.9901 0.4849 0.8729 O

***

No. 4
VCuO3 SCAN single point on PBEsol structure; E_form (uncorrected) = -1871 meV/atom; size of the total moment = 0.0 μB per cell; total energy = -12.147 eV per atom
1.0
5.3167 -1.5752 0.0000
5.3167 1.5752 0.0000
-1.5232 0.0000 4.2825
V Cu O
1 1 3
Direct
0.0000 0.0000 0.0000 V
0.3328 0.3328 0.3881 Cu
0.1482 0.1482 0.2745 O
0.4794 0.4794 0.7839 O
0.8824 0.8824 0.1743 O

***

No. 5
CuWO2 SCAN single point on PBEsol structure; DOS at the Fermi energy = 1.65 states/eV per cell; E_form (uncorrected) = -239 meV/atom; size of the total moment = 0.0 μB per cell; total energy = -24.576 eV per atom
1.0
0.0000 2.6473 2.6473
2.6473 0.0000 2.6473
2.6473 2.6473 0.0000
Cu W O
1 1 2
Direct
0.0000 0.0000 0.0000 Cu
0.5000 0.5000 0.5000 W
0.2500 0.2500 0.2500 O
0.7500 0.7500 0.7500 O

***

No. 6
CuWO2 SCAN single point on PBEsol structure; DOS at the Fermi energy = 0.99 states/eV per cell; E_form (uncorrected) = -1144 meV/atom; size of the total moment = 0.0 μB per cell; total energy = -25.481 eV per atom
1.0
1.3802 0.7969 6.4875
-1.3802 0.7969 6.4875
0.0000 -1.5938 6.4875
Cu W O
1 1 2
Direct
0.0000 0.0000 0.0000 Cu
0.5000 0.5000 0.5000 W
0.0959 0.0959 0.0959 O
0.9041 0.9041 0.9041 O